Entry 1:
This record from Alexandria describes a relaxed structure of CoNiSCl2. The functional is PBE.

## Properties
The value obtained for the total magnetization is 2.8 μB per cell. The raw formation energy comes out at 0.433 eV/atom.

Cell: 4.617 4.617 4.397 Å, 90.00 90.00 90.00°
Space group P4/mmm (No. 123)
Unique sites:
Co 0.000 0.000 0.000 [1 per cell]
Ni 0.500 0.500 0.500 [1 per cell]
S 0.000 0.000 0.500 [1 per cell]
Cl 0.000 0.500 0.000 [2 per cell]

***

Entry 2:
This record from Alexandria describes a relaxed structure of Sr2CuBr. The functional is PBE.

## Properties
The value obtained for the total magnetization is 0.9 μB per cell. The raw formation energy comes out at -0.672 eV/atom. For the offset from the most stable computed form, the calculation gives 0.37 eV/f.u.

Cell: 4.503 6.457 4.533 Å, 90.00 90.00 90.00°
Space group Pmm2 (No. 25)
Unique sites:
Sr 0.000 0.000 0.000 [1 per cell]
Sr 0.500 0.500 0.498 [1 per cell]
Cu 0.000 0.500 0.997 [1 per cell]
Br 0.500 0.000 0.500 [1 per cell]

***

Entry 3:
This record from Alexandria describes a relaxed structure of BeSb2Te. The functional is PBE.

## Properties
The value obtained for the total magnetization is 0.0 μB per cell. The raw formation energy comes out at 0.092 eV/atom. For the offset from the most stable computed form, the calculation gives 0.01 eV/f.u.

Cell: 4.860 4.119 6.651 Å, 90.00 100.36 90.00°
Space group Pm (No. 6)
Unique sites:
Be 0.000 0.000 0.000 [1 per cell]
Sb 0.220 0.500 0.604 [1 per cell]
Sb 0.813 0.000 0.635 [1 per cell]
Te 0.162 0.500 0.158 [1 per cell]

***

Entry 4:
This record from Alexandria describes a relaxed structure of LiInPb. The functional is PBE.

## Properties
The value obtained for the total magnetization is 0.0 μB per cell. The calculation puts the formation energy at -0.44 eV per formula unit.

Cell: 3.529 4.320 9.873 Å, 90.00 90.00 90.00°
Space group Pmm2 (No. 25)
Unique sites:
Li 0.000 0.000 0.000 [1 per cell]
Li 0.000 0.000 0.329 [1 per cell]
In 0.000 0.000 0.647 [1 per cell]
In 0.500 0.500 0.486 [1 per cell]
Pb 0.500 0.500 0.165 [1 per cell]
Pb 0.500 0.500 0.827 [1 per cell]

***

Entry 5:
This record from Alexandria describes a relaxed structure of Cs6KRbAu2. The functional is PBE.

## Properties
The value obtained for the total magnetization is 0.0 μB per cell. The calculation puts the formation energy at -1.39 eV per formula unit.

Cell: 19.845 18.004 9.915 Å, 90.00 117.63 90.00°
Space group C2/c (No. 15)
Unique sites:
Cs 0.125 0.050 0.014 [8 per cell]
Cs 0.126 0.457 0.500 [8 per cell]
Cs 0.245 0.210 0.759 [8 per cell]
K 0.000 0.212 0.250 [4 per cell]
Rb 0.000 0.302 0.750 [4 per cell]
Au 0.187 0.378 0.874 [8 per cell]

***

Entry 6:
This record from Alexandria describes a relaxed structure of Ba2PmSbO6. The functional is PBE.

## Properties
The value obtained for the total magnetization is 0.0 μB per cell. The raw formation energy comes out at -2.611 eV/atom.

Cell: 8.643 8.643 8.643 Å, 90.00 90.00 90.00°
Space group Fm-3m (No. 225)
Unique sites:
Ba 0.250 0.250 0.250 [8 per cell]
Pm 0.000 0.000 0.000 [4 per cell]
Sb 0.000 0.000 0.500 [4 per cell]
O 0.000 0.000 0.267 [24 per cell]

***

Entry 7:
This record from Alexandria describes a relaxed structure of CuSbPb. The functional is PBE.

## Properties
The value obtained for the total magnetization is 0.0 μB per cell. The raw formation energy comes out at 0.080 eV/atom. For the offset from the most stable computed form, the calculation gives 0.11 eV/f.u.

Cell: 4.036 6.092 6.687 Å, 75.79 72.66 70.74°
Space group P1 (No. 1)
Unique sites:
Cu 0.000 0.000 0.000 [1 per cell]
Cu 0.245 0.859 0.647 [1 per cell]
Sb 0.332 0.095 0.246 [1 per cell]
Sb 0.560 0.158 0.719 [1 per cell]
Pb 0.732 0.587 0.943 [1 per cell]
Pb 0.986 0.634 0.392 [1 per cell]

***

Entry 8:
This record from Alexandria describes a relaxed structure of CsRb2LiBi. The functional is PBE.

## Properties
The value obtained for the total magnetization is 0.0 μB per cell. The calculation puts the formation energy at -0.86 eV per formula unit. For the offset from the most stable computed form, the calculation gives 0.03 eV/f.u.

Cell: 7.447 7.447 5.549 Å, 90.00 90.00 90.00°
Space group P4/mmm (No. 123)
Unique sites:
Cs 0.000 0.000 0.000 [1 per cell]
Rb 0.000 0.500 0.500 [2 per cell]
Li 0.500 0.500 0.000 [1 per cell]
Bi 0.500 0.500 0.500 [1 per cell]

***

Question: What is the total magnetization in the eighth record?
Answer: 0.0 μB per cell

***

Repeat the eighth record exactly.
This record from Alexandria describes a relaxed structure of CsRb2LiBi. The functional is PBE.

## Properties
The value obtained for the total magnetization is 0.0 μB per cell. The calculation puts the formation energy at -0.86 eV per formula unit. For the offset from the most stable computed form, the calculation gives 0.03 eV/f.u.

Cell: 7.447 7.447 5.549 Å, 90.00 90.00 90.00°
Space group P4/mmm (No. 123)
Unique sites:
Cs 0.000 0.000 0.000 [1 per cell]
Rb 0.000 0.500 0.500 [2 per cell]
Li 0.500 0.500 0.000 [1 per cell]
Bi 0.500 0.500 0.500 [1 per cell]

***

What did the fifth record say?
This record from Alexandria describes a relaxed structure of Cs6KRbAu2. The functional is PBE.

## Properties
The value obtained for the total magnetization is 0.0 μB per cell. The calculation puts the formation energy at -1.39 eV per formula unit.

Cell: 19.845 18.004 9.915 Å, 90.00 117.63 90.00°
Space group C2/c (No. 15)
Unique sites:
Cs 0.125 0.050 0.014 [8 per cell]
Cs 0.126 0.457 0.500 [8 per cell]
Cs 0.245 0.210 0.759 [8 per cell]
K 0.000 0.212 0.250 [4 per cell]
Rb 0.000 0.302 0.750 [4 per cell]
Au 0.187 0.378 0.874 [8 per cell]